1.
Compound: SmPaCrTc
Source: the Alexandria database
Functional: PBE
Structure: optimized geometry

space group	F-43m, No. 216
energy relative to the elements	0.251	eV/atom
electronic total energy	-8.30	eV/atom
crystal system	cubic
DOS(E_F)	1.220	states/eV per atom

Geometry as POSCAR:
```
SmPaCrTc
1.0
0.000 3.474 3.474
3.474 0.000 3.474
3.474 3.474 0.000
Sm Pa Cr Tc
1 1 1 1
direct
0.000 0.000 0.000 Sm
0.500 0.500 0.500 Pa
0.750 0.750 0.750 Cr
0.250 0.250 0.250 Tc
```

2.
Compound: Tc3OsO
Source: the Alexandria database
Functional: PBE
Structure: optimized geometry

formation energy from raw total energies	2244	meV per atom
space group	Pm-3m, No. 221
electronic total energy	-7.21	eV/atom
energy above the lowest structure with this stoichiometry	2.1239	eV/atom
crystal system	cubic
DOS(E_F)	1.422	states/eV per atom

Geometry as POSCAR:
```
Tc3OsO
1.0
4.729 0.000 0.000
0.000 4.729 0.000
0.000 0.000 4.729
Tc Os O
3 1 1
direct
0.000 0.000 0.500 Tc
0.000 0.500 0.000 Tc
0.500 0.000 0.000 Tc
0.000 0.000 0.000 Os
0.500 0.500 0.500 O
```

3.
Compound: Ac4RuSCl2
Source: the Alexandria database
Functional: PBE
Structure: optimized geometry

formation energy from raw total energies	-1303	meV per atom
space group	P2/m, No. 10
electronic total energy	-5.49	eV/atom
crystal system	monoclinic
DOS(E_F)	0.680	states/eV per atom

Geometry as POSCAR:
```
Ac4RuSCl2
1.0
7.819 0.000 0.000
0.000 4.216 0.000
-2.377 0.000 7.646
Ac Ru S Cl
4 1 1 2
direct
0.220 0.000 0.209 Ac
0.252 0.500 0.785 Ac
0.748 0.500 0.215 Ac
0.780 0.000 0.791 Ac
0.000 0.500 0.000 Ru
0.500 0.000 0.000 S
0.000 0.000 0.500 Cl
0.500 0.500 0.500 Cl
```

4.
Compound: Ca2Nd5Ho4
Source: the Alexandria database
Functional: PBE
Structure: optimized geometry

space group	Immm, No. 71
energy relative to the elements	0.180	eV/atom
electronic total energy	-4.02	eV/atom
crystal system	orthorhombic
DOS(E_F)	1.391	states/eV per atom

Geometry as POSCAR:
```
Ca2Nd5Ho4
1.0
-1.751 5.862 9.477
1.751 -5.862 9.477
1.751 5.862 -9.477
Ca Nd Ho
2 5 4
direct
0.193 0.193 0.000 Ca
0.807 0.807 0.000 Ca
0.000 0.500 0.500 Nd
0.117 0.822 0.295 Nd
0.473 0.178 0.295 Nd
0.527 0.822 0.705 Nd
0.883 0.178 0.705 Nd
0.275 0.000 0.275 Ho
0.414 0.414 0.000 Ho
0.586 0.586 0.000 Ho
0.725 0.000 0.725 Ho
```

Number 1: density 10.52 g/cm³. Number 2: density 7.86 g/cm³. Number 3: density 7.33 g/cm³. Number 4: density 6.24 g/cm³.